No. 1
Crystalline CrGe3Br at its relaxed geometry, computed with GGA-PBE.

The structure belongs to space group Pm-3m (No. 221); the cell edges are 4.7480, 4.7480 and 4.7480 Å and the angles 90.00°, 90.00° and 90.00°. The inequivalent atoms are Cr at (0.0000, 0.0000, 0.0000), Ge at (0.0000, 0.0000, 0.5000) and Br at (0.5000, 0.5000, 0.5000).

The uncorrected formation energy comes out at 120 meV/atom. The relative energy among the computed polymorphs comes out at 0.0 meV/atom. The calculation puts the total magnetization at 1.00 μB per cell. The calculation puts the theoretical density at 5.43 g/cm3.


No. 2
Crystalline Nd3PbSeCl at its relaxed geometry, computed with GGA-PBE.

The structure belongs to space group P2_1/m (No. 11); the cell edges are 8.7862, 4.2057 and 10.3260 Å and the angles 90.00°, 107.07° and 90.00°. The inequivalent atoms are Nd at (0.1625, 0.2500, 0.1647), Nd at (0.3274, 0.7500, 0.9006), Nd at (0.3278, 0.7500, 0.5127), Pb at (0.4683, 0.7500, 0.2444), Se at (0.0869, 0.2500, 0.8652) and Cl at (0.1056, 0.2500, 0.4268).

The uncorrected formation energy comes out at -1272 meV/atom. The calculation puts the total magnetization at 1.09 μB per cell. The calculation puts the theoretical density at 6.87 g/cm3.


No. 3
Crystalline U2Se3 at its relaxed geometry, computed with GGA-PBE.

The structure belongs to space group I4/mmm (No. 139); the cell edges are 3.5514, 3.5514 and 18.9397 Å and the angles 90.00°, 90.00° and 90.00°. The inequivalent atoms are U at (0.0000, 0.0000, 0.0996), Se at (0.0000, 0.0000, 0.3225) and Se at (0.0000, 0.0000, 0.5000).

The uncorrected formation energy comes out at -993 meV/atom. The calculation puts the total magnetization at 11.47 μB per cell. The calculation puts the theoretical density at 9.91 g/cm3.


No. 4
Crystalline SmY2Tm at its relaxed geometry, computed with GGA-PBE.

The structure belongs to space group R-3m (No. 166, hexagonal axes); the cell edges are 3.4932, 3.4932 and 37.3415 Å and the angles 90.00°, 90.00° and 120.00°. The inequivalent atoms are Sm at (0.0000, 0.0000, 0.0000), Y at (0.0000, 0.0000, 0.4111) and Tm at (0.0000, 0.0000, 0.5000).

The relative energy among the computed polymorphs comes out at 203.6 meV/atom. The calculation puts the total magnetization at 1.46 μB per cell. The calculation puts the theoretical density at 6.28 g/cm3.